Computed, not measured: a relaxed TbSmY5 crystal at the PBE level of DFT.

Unit cell a=5.7907 b=7.9014 c=7.9014 alpha=65.91 beta=68.50 gamma=68.50
With the nearest neighbours (Å) after each atom.
Fractional coordinates of all 7 atoms:
Y: 0.5000 0.8215 0.1785  1 Sm 2.76, 1 Y 3.07
Y: 0.0000 0.5000 0.5000  2 Sm 2.90
Y: 0.5000 0.1785 0.8215  1 Sm 2.76, 1 Y 3.07
Y: 0.2537 0.7463 0.7463  1 Sm 2.94, 1 Tb 3.03
Y: 0.7463 0.2537 0.2537  1 Sm 2.94, 1 Tb 3.03
Tb: 0.0000 0.0000 0.0000  6 Y 3.03-3.28
Sm: 0.5000 0.5000 0.5000  6 Y 2.76-2.94

Magnetic moment, μB per formula unit: 0.002
Space-group type: Immm
Energy above the lowest structure with this stoichiometry, eV per formula unit: 6.17
Calculated density, g cm⁻³: 4.22

Computed, not measured: a relaxed Tb3Sm7Y crystal at the PBE level of DFT.

Unit cell a=5.8838 b=8.5226 c=8.5226 alpha=82.71 beta=110.21 gamma=110.21
With the nearest neighbours (Å) after each atom.
Fractional coordinates of all 11 atoms:
Sm: 0.3032 0.5975 0.0094  2 Tb 3.22-3.59, 3 Sm 3.33-3.48
Tb: 0.0000 0.7945 0.2055  9 Sm 3.31-3.69
Y: 0.5000 0.5000 0.5000  2 Sm 2.94
Tb: 0.5000 0.0000 0.0000  4 Sm 3.22
Tb: 0.0000 0.2055 0.7945  9 Sm 3.31-3.69
Sm: 0.6968 0.4025 0.9906  2 Tb 3.22-3.59, 3 Sm 3.33-3.48
Sm: 0.2099 0.2084 0.2084  2 Tb 3.31, 1 Y 3.31, 2 Sm 3.48
Sm: 0.0000 0.5000 0.5000  2 Y 2.94
Sm: 0.7901 0.7916 0.7916  2 Tb 3.31, 1 Y 3.31, 2 Sm 3.48
Sm: 0.6968 0.9906 0.4025  2 Tb 3.22-3.59, 3 Sm 3.33-3.48
Sm: 0.3032 0.0094 0.5975  2 Tb 3.22-3.59, 3 Sm 3.33-3.48

Magnetic moment, μB per formula unit: 0.224
Space-group type: C2/m
Energy above the lowest structure with this stoichiometry, eV per formula unit: 1.30
Calculated density, g cm⁻³: 7.14

Computed, not measured: a relaxed Tb4SmY4 crystal at the PBE level of DFT.

Unit cell a=5.0449 b=7.9915 c=7.9915 alpha=84.28 beta=71.60 gamma=71.60
With the nearest neighbours (Å) after each atom.
Fractional coordinates of all 9 atoms:
Tb: 0.3345 0.6655 0.6656  5 Tb 3.55-3.56, 6 Y 3.57-3.58, 1 Sm 3.59
Y: 0.3332 0.9999 0.3338  4 Y 3.57-3.58, 6 Tb 3.57-3.58, 2 Sm 3.57
Y: 0.3331 0.3338 0.0001  4 Y 3.57-3.58, 6 Tb 3.57-3.58, 2 Sm 3.57
Tb: 0.0001 0.3344 0.6655  5 Tb 3.55-3.56, 6 Y 3.57-3.58, 1 Sm 3.59
Tb: 0.9999 0.6656 0.3345  5 Tb 3.55-3.56, 6 Y 3.57-3.58, 1 Sm 3.59
Y: 0.6669 0.6662 0.9999  4 Y 3.57-3.58, 6 Tb 3.57-3.58, 2 Sm 3.57
Sm: 0.0000 0.0000 0.0000  8 Y 3.57, 4 Tb 3.59
Tb: 0.6655 0.3345 0.3344  5 Tb 3.55-3.56, 6 Y 3.57-3.58, 1 Sm 3.59
Y: 0.6668 0.0001 0.6662  4 Y 3.57-3.58, 6 Tb 3.57-3.58, 2 Sm 3.57

Magnetic moment, μB per formula unit: 0.000
Space-group type: I4/mmm
Calculated density, g cm⁻³: 6.54

Computed, not measured: a relaxed Tb4Sm7Y2 crystal at the PBE level of DFT.

Unit cell a=9.5317 b=14.8430 c=6.2301 alpha=82.11 beta=96.03 gamma=150.59
With the nearest neighbours (Å) after each atom.
Fractional coordinates of all 13 atoms:
Sm: 0.2310 0.7694 0.6151  3 Y 3.59-3.61, 5 Sm 3.59-3.61, 4 Tb 3.60-3.61
Y: 0.6931 0.3083 0.8450  7 Sm 3.59-3.61, 4 Tb 3.60, 1 Y 3.60
Tb: 0.9227 0.0762 0.4621  3 Tb 3.58-3.59, 8 Sm 3.59-3.61, 1 Y 3.60
Sm: 0.1520 0.8452 0.0771  7 Sm 3.59-3.61, 3 Tb 3.59-3.61, 2 Y 3.61
Tb: 0.6142 0.3837 0.3076  2 Tb 3.58-3.59, 7 Sm 3.60-3.61, 3 Y 3.60
Sm: 0.8480 0.1548 0.9229  7 Sm 3.59-3.61, 3 Tb 3.59-3.61, 2 Y 3.61
Sm: 0.7690 0.2306 0.3849  3 Y 3.59-3.61, 5 Sm 3.59-3.61, 4 Tb 3.60-3.61
Sm: 0.0000 0.0000 0.0000  6 Tb 3.59-3.60, 4 Sm 3.60, 2 Y 3.60
Sm: 0.5384 0.4617 0.7691  6 Sm 3.59-3.60, 5 Tb 3.60-3.61, 1 Y 3.60
Tb: 0.0773 0.9238 0.5379  3 Tb 3.58-3.59, 8 Sm 3.59-3.61, 1 Y 3.60
Y: 0.3069 0.6917 0.1550  7 Sm 3.59-3.61, 4 Tb 3.60, 1 Y 3.60
Sm: 0.4616 0.5383 0.2309  6 Sm 3.59-3.60, 5 Tb 3.60-3.61, 1 Y 3.60
Tb: 0.3858 0.6163 0.6924  2 Tb 3.58-3.59, 7 Sm 3.60-3.61, 3 Y 3.60

Magnetic moment, μB per formula unit: 0.000
Space-group type: P-1
Calculated density, g cm⁻³: 7.23

| no. | calculated total energy (eV/atom) | formation energy (eV/f.u.) |
| --- | --- | --- |
| 1 | -4.8672 | 7.60 |
| 2 | -4.6127 | 2.65 |
| 3 | -5.4359 | 0.17 |
| 4 | -4.9487 | 0.15 |